1.
Material: Nd4CBr2Cl2F
Method: DFT, PBE
State: optimized geometry

## Properties
Total magnetization   0.13 μB/cell
Calculated total energy   -5.45 eV per atom
V   25.4 Å³/atom

Cell: 18.097 3.775 7.645 Å, 90.00 103.47 90.00°
Space group C2/m (No. 12)
One atom of each set of equivalent atoms:
Nd 0.000 0.000 0.235 [4 per cell]
Nd 0.143 0.500 0.081 [4 per cell]
C 0.000 0.500 0.000 [2 per cell]
Br 0.170 0.000 0.802 [4 per cell]
Cl 0.161 0.000 0.357 [4 per cell]
F 0.000 0.500 0.500 [2 per cell]

2.
Material: YHoPbN
Method: DFT, PBE
State: optimized geometry

## Properties
Total magnetization   0.00 μB/cell
Calculated total energy   -6.87 eV per atom
V   21.2 Å³/atom

Cell: 3.5448 3.5448 15.5582 Å, 90.00 90.00 120.00°
Space group P-3m1 (No. 164)
One atom of each set of equivalent atoms:
Y 0.3333 0.6667 0.4161 [2 per cell]
Ho 0.3333 0.6667 0.0829 [2 per cell]
Pb 0.3333 0.6667 0.7509 [2 per cell]
N 0.0000 0.0000 0.0000 [1 per cell]
N 0.0000 0.0000 0.5000 [1 per cell]

Question: Look up the total magnetization of the second one.
Answer: 0.00 μB/cell